w:
This record from the Alexandria database describes crystalline RbFeIr at its relaxed geometry. The functional is PBE.

```
RbFeIr
1.0
10.6047 0.5689 0.8318
0.3393 4.9600 -0.0933
-0.2062 -2.2771 4.2784
Ir Rb Fe
2 2 2
Cartesian
5.6151 -0.5504 2.3440
6.2318 -1.7380 4.4918
9.2786 4.2001 2.3014
2.9081 -1.5168 4.4511
6.1456 1.9052 2.3012
6.0431 0.7666 4.4406
```

Results
spin magnetization	0.944	μB/atom
V	111.1	Å³/f.u.
space-group type	P1 (1)
mass density	4.99	g/cm³
density of states at the Fermi level	0.905	states/eV/atom


x:
This record from the Alexandria database describes crystalline RbFeIr at its relaxed geometry. The functional is PBE.

```
RbFeIr
1.0
-6.1907 7.5968 4.2347
4.2868 -9.7274 -0.9842
3.6061 1.2899 2.9577
Rb Ir Fe
2 2 2
Cartesian
-1.0394 1.9045 3.5206
3.7480 -2.3852 3.5129
-5.3241 7.5549 4.7147
6.6064 -8.5458 1.1490
0.7916 -0.6865 2.8948
2.3511 0.3611 4.4949
```

Results
spin magnetization	0.999	μB/atom
V	109.5	Å³/f.u.
space-group type	Cmc2_1 (36)
mass density	5.06	g/cm³
density of states at the Fermi level	0.950	states/eV/atom


y:
This record from the Alexandria database describes crystalline RbFeIr at its relaxed geometry. The functional is PBE.

```
RbFeIr
1.0
3.3946 -1.9599 0.0000
0.0000 3.9198 0.0000
0.0000 0.0000 5.8429
Rb Fe Ir
1 1 1
Cartesian
2.2631 0.0000 2.9215
0.0000 0.0000 0.0000
1.1315 1.9599 0.0000
```

Results
spin magnetization	0.163	μB/atom
V	77.7	Å³/f.u.
space-group type	P-6m2 (187)
mass density	7.12	g/cm³
density of states at the Fermi level	1.114	states/eV/atom


Which is less stable than every other structure shown? y is.